(1)
Compound: Ca3Si5Se12
Source: Alexandria via LeMat-Bulk
Functional: PBE-GGA
Structure: relaxed

Summary:
DOS at the Fermi energy ... 26.333 states/eV/cell
Size of the total moment ... 0.0 Bohr magnetons per cell
E_form (uncorrected) ... -0.745 eV/atom

Geometry as POSCAR:
```
Ca3Si5Se12
1.0
-4.415 0.876 12.898
7.422 -11.368 -1.510
7.708 10.893 -2.924
Se Ca Si
48 12 20
Direct
0.474 0.682 0.094
0.792 0.474 0.379
0.792 0.318 0.912
0.318 0.792 0.412
0.182 0.094 0.974
0.406 0.379 0.588
0.208 0.682 0.088
0.879 0.588 0.906
0.088 0.906 0.379
0.912 0.818 0.792
0.906 0.088 0.879
0.292 0.412 0.818
0.818 0.912 0.292
0.621 0.594 0.912
0.974 0.379 0.292
0.379 0.974 0.792
0.621 0.026 0.208
0.412 0.121 0.594
0.594 0.974 0.682
0.026 0.621 0.708
0.708 0.588 0.182
0.088 0.182 0.208
0.818 0.906 0.026
0.682 0.474 0.594
0.974 0.594 0.182
0.906 0.818 0.526
0.026 0.406 0.818
0.526 0.208 0.121
0.708 0.121 0.026
0.208 0.526 0.621
0.292 0.879 0.974
0.588 0.708 0.682
0.474 0.792 0.879
0.588 0.879 0.406
0.682 0.208 0.588
0.412 0.292 0.318
0.121 0.708 0.526
0.121 0.412 0.094
0.879 0.292 0.474
0.182 0.088 0.708
0.318 0.526 0.406
0.094 0.182 0.474
0.594 0.621 0.412
0.094 0.912 0.121
0.406 0.026 0.318
0.912 0.094 0.621
0.526 0.318 0.906
0.379 0.406 0.088
0.375 0.750 0.625
0.625 0.375 0.750
0.875 0.125 0.250
0.625 0.250 0.375
0.750 0.875 0.625
0.125 0.875 0.750
0.375 0.625 0.250
0.750 0.375 0.125
0.875 0.750 0.125
0.125 0.250 0.875
0.250 0.625 0.875
0.250 0.125 0.375
0.500 0.500 0.500
0.875 0.625 0.750
0.250 0.375 0.625
0.500 0.000 0.000
0.500 0.500 0.000
0.625 0.875 0.250
0.000 0.000 0.500
0.750 0.125 0.875
0.000 0.500 0.000
0.375 0.125 0.750
0.625 0.750 0.875
0.750 0.625 0.375
0.250 0.875 0.125
0.125 0.375 0.250
0.125 0.750 0.375
0.000 0.000 0.000
0.500 0.000 0.500
0.875 0.250 0.625
0.375 0.250 0.125
0.000 0.500 0.500
```

(2)
Compound: Ca4SiSe
Source: Alexandria via LeMat-Bulk
Functional: PBE-GGA
Structure: relaxed

Summary:
DOS at the Fermi energy ... 2.145 states/eV/cell
Size of the total moment ... 0.0 Bohr magnetons per cell
E_form (uncorrected) ... 0.202 eV/atom

Geometry as POSCAR:
```
Ca4SiSe
1.0
0.000 4.450 4.450
4.450 0.000 4.450
4.450 4.450 0.000
Ca Se Si
4 1 1
Direct
0.375 0.876 0.375
0.375 0.375 0.375
0.876 0.375 0.375
0.375 0.375 0.876
0.750 0.750 0.750
0.000 0.000 0.000
```

(3)
Compound: CaSi2Se4
Source: Alexandria via LeMat-Bulk
Functional: PBE-GGA
Structure: relaxed

Summary:
DOS at the Fermi energy ... 1.692 states/eV/cell
Size of the total moment ... 0.0 Bohr magnetons per cell
E_form (uncorrected) ... -0.538 eV/atom

Geometry as POSCAR:
```
CaSi2Se4
1.0
-5.125 3.596 0.726
-0.551 -5.842 -2.299
2.199 -0.810 5.851
Se Si Ca
4 2 1
Direct
0.838 0.319 0.156
0.162 0.681 0.844
0.319 0.162 0.481
0.681 0.838 0.519
0.750 0.250 0.500
0.250 0.750 0.500
0.500 0.500 0.000
```

(4)
Compound: CaSiSe2
Source: Alexandria via LeMat-Bulk
Functional: PBE-GGA
Structure: relaxed

Summary:
DOS at the Fermi energy ... 0.000 states/eV/cell
Size of the total moment ... 0.0 Bohr magnetons per cell
E_form (uncorrected) ... -0.688 eV/atom

Geometry as POSCAR:
```
CaSiSe2
1.0
6.064 0.000 0.000
0.000 6.064 0.000
3.032 3.032 6.866
Se Si Ca
4 2 2
Direct
0.587 0.125 0.250
0.875 0.837 0.750
0.163 0.625 0.250
0.375 0.413 0.750
0.500 0.500 0.000
0.250 0.750 0.500
0.000 0.000 0.000
0.750 0.250 0.500
```

(5)
Compound: Ca2Si2Se
Source: Alexandria via LeMat-Bulk
Functional: PBE-GGA
Structure: relaxed

Summary:
DOS at the Fermi energy ... 3.231 states/eV/cell
Size of the total moment ... 0.0 Bohr magnetons per cell
Relative energy among the computed polymorphs ... 266.2 meV per atom
E_form (uncorrected) ... -0.289 eV/atom

Geometry as POSCAR:
```
Ca2Si2Se
1.0
5.791 0.000 0.000
0.000 5.791 0.000
2.896 2.896 3.831
Si Ca Se
2 2 1
Direct
0.649 0.649 0.702
0.351 0.351 0.298
0.250 0.750 0.500
0.750 0.250 0.500
0.000 0.000 0.000
```

(6)
Compound: CaSi4Se
Source: Alexandria via LeMat-Bulk
Functional: PBE-GGA
Structure: relaxed

Summary:
DOS at the Fermi energy ... 2.905 states/eV/cell
Size of the total moment ... 0.0 Bohr magnetons per cell
E_form (uncorrected) ... 0.026 eV/atom

Geometry as POSCAR:
```
CaSi4Se
1.0
3.346 -1.818 3.700
-1.897 -2.119 4.484
0.427 -5.222 0.857
Si Ca Se
4 1 1
Direct
0.375 0.874 0.375
0.375 0.375 0.375
0.375 0.375 0.874
0.874 0.375 0.375
0.750 0.750 0.750
0.000 0.000 0.000
```